1.
Entry from Alexandria via LeMat-Bulk: a relaxed CdFe2Se crystal (PBE).

Cell lengths 7.7870, 3.0603, 6.6916 Å; angles 90.00, 110.87, 90.00 degrees
Sites, in units of the cell vectors:
1 Cd 0.0000 0.0000 0.0000
2 Cd 0.5000 0.5000 0.0000
3 Fe 0.2073 0.0000 0.7398
4 Fe 0.4546 0.0000 0.6043
5 Fe 0.7073 0.5000 0.7398
6 Fe 0.9546 0.5000 0.6043
7 Se 0.1907 0.5000 0.4340
8 Se 0.6907 0.0000 0.4340

Properties
Uncorrected formation energy (meV per atom): 217
DOS(E_F) (states/eV per atom): 0.72
Total magnetization (μB per formula unit): 4.63


2.
Entry from Alexandria via LeMat-Bulk: a relaxed LiLu2Mn crystal (PBE).

Cell lengths 6.9294, 6.9294, 6.9294 Å; angles 90.00, 90.00, 90.00 degrees
Sites, in units of the cell vectors:
1 Li 0.0000 0.0000 0.0000
2 Li 0.0000 0.5000 0.5000
3 Li 0.5000 0.0000 0.5000
4 Li 0.5000 0.5000 0.0000
5 Lu 0.2500 0.2500 0.2500
6 Lu 0.2500 0.2500 0.7500
7 Lu 0.2500 0.7500 0.2500
8 Lu 0.2500 0.7500 0.7500
9 Lu 0.7500 0.2500 0.2500
10 Lu 0.7500 0.2500 0.7500
11 Lu 0.7500 0.7500 0.2500
12 Lu 0.7500 0.7500 0.7500
13 Mn 0.0000 0.0000 0.5000
14 Mn 0.0000 0.5000 0.0000
15 Mn 0.5000 0.0000 0.0000
16 Mn 0.5000 0.5000 0.5000

Properties
Energy above the lowest structure with this stoichiometry (eV/f.u.): 0.06
DOS(E_F) (states/eV per atom): 0.88
Total magnetization (μB per formula unit): 2.48
Formation enthalpy at 0 K (eV/atom): 0.098


3.
Entry from Alexandria via LeMat-Bulk: a relaxed CeSeF2 crystal (PBE).

Cell lengths 5.6360, 8.9771, 3.7110 Å; angles 90.00, 90.00, 90.00 degrees
Sites, in units of the cell vectors:
1 Ce 0.0000 0.0000 0.0000
2 Ce 0.5000 0.5000 0.0000
3 Se 0.0000 0.5000 0.0000
4 Se 0.5000 0.0000 0.0000
5 F 0.0000 0.1476 0.5000
6 F 0.0000 0.8524 0.5000
7 F 0.5000 0.3524 0.5000
8 F 0.5000 0.6476 0.5000

Properties
Uncorrected formation energy (meV per atom): -2780
DOS(E_F) (states/eV per atom): 0.86
Total magnetization (μB per formula unit): 0.30


4.
Entry from Alexandria via LeMat-Bulk: a relaxed Ho8CoNi2 crystal (PBE).

Cell lengths 7.3104, 7.3104, 6.0087 Å; angles 100.93, 100.93, 111.89 degrees
Sites, in units of the cell vectors:
1 Ho 0.0000 0.0000 0.0000
2 Ho 0.0190 0.2820 0.5653
3 Ho 0.1512 0.5580 0.1842
4 Ho 0.2820 0.0190 0.5653
5 Ho 0.4369 0.7015 0.7812
6 Ho 0.5580 0.1512 0.1842
7 Ho 0.7015 0.4369 0.7812
8 Ho 0.7124 0.7124 0.3698
9 Co 0.3535 0.3535 0.3732
10 Ni 0.0476 0.6757 0.6797
11 Ni 0.6757 0.0476 0.6797

Properties
Energy above the lowest structure with this stoichiometry (eV/f.u.): 0.93
DOS(E_F) (states/eV per atom): 1.07
Total magnetization (μB per formula unit): 0.00
Formation enthalpy at 0 K (eV/atom): -0.099


5.
Entry from Alexandria via LeMat-Bulk: a relaxed ScB2MoOs crystal (PBE).

Cell lengths 4.1093, 4.1093, 4.5966 Å; angles 90.00, 90.00, 90.00 degrees
Sites, in units of the cell vectors:
1 Sc 0.0000 0.0000 0.0000
2 B 0.0000 0.5000 0.0000
3 B 0.5000 0.0000 0.0000
4 Mo 0.0000 0.0000 0.5000
5 Os 0.5000 0.5000 0.5000

Properties
DOS(E_F) (states/eV per atom): 1.31
Total magnetization (μB per formula unit): 0.00
Formation enthalpy at 0 K (eV/atom): 2.517


6.
Entry from Alexandria via LeMat-Bulk: a relaxed K3O2 crystal (PBE).

Cell lengths 7.2749, 7.2749, 7.2749 Å; angles 55.66, 55.66, 55.66 degrees
Sites, in units of the cell vectors:
1 K 0.0464 0.7500 0.4536
2 K 0.2500 0.5464 0.9536
3 K 0.4536 0.0464 0.7500
4 K 0.5464 0.9536 0.2500
5 K 0.7500 0.4536 0.0464
6 K 0.9536 0.2500 0.5464
7 O 0.1466 0.1466 0.1466
8 O 0.3534 0.3534 0.3534
9 O 0.6466 0.6466 0.6466
10 O 0.8534 0.8534 0.8534

Properties
Uncorrected formation energy (meV per atom): -934
Energy above the lowest structure with this stoichiometry (eV/f.u.): 0.00
DOS(E_F) (states/eV per atom): 2.25
Total magnetization (μB per formula unit): 1.00